DFT (GGA-PBE) results for a relaxed structure of Ta2BeSe.

Results
- formation energy without anion corrections (kcal/mol of atoms) = 4.16
- crystal system = orthorhombic
- offset from the most stable computed form (kJ/mol of atoms) = 24.2
- space group = Cmm2, No. 35
- electronic total energy (eV/cell) = -30.19

a b c (Å): 2.935 2.935 9.104
angles (deg): 90.00 90.00 104.79
Element x y z (fractional)
Ta  0.500  0.500  0.253
Be  0.000  0.000  0.436
Ta  0.000  0.000  0.011
Se  0.500  0.500  0.799

***

DFT (GGA-PBE) results for a relaxed structure of Ta2BeSe.

Results
- formation energy without anion corrections (kcal/mol of atoms) = 4.71
- crystal system = orthorhombic
- offset from the most stable computed form (kJ/mol of atoms) = 26.5
- space group = Pmmm, No. 47
- electronic total energy (eV/cell) = -30.10

a b c (Å): 3.280 4.703 4.139
angles (deg): 90.00 90.00 90.00
Element x y z (fractional)
Be  0.500  0.000  0.500
Ta  0.000  0.000  0.000
Se  0.000  0.500  0.500
Ta  0.500  0.500  0.000

***

DFT (GGA-PBE) results for a relaxed structure of Ta2BeSe.

Results
- formation energy without anion corrections (kcal/mol of atoms) = 0.35
- crystal system = tetragonal
- offset from the most stable computed form (kJ/mol of atoms) = 8.3
- space group = P4mm, No. 99
- electronic total energy (eV/cell) = -30.86

a b c (Å): 3.389 3.389 5.570
angles (deg): 90.00 90.00 90.00
Element x y z (fractional)
Se  0.500  0.500  0.767
Ta  0.500  0.500  0.285
Be  0.000  0.000  0.451
Ta  0.000  0.000  0.997

***

DFT (GGA-PBE) results for a relaxed structure of TaBeSe.

Results
- formation energy without anion corrections (kcal/mol of atoms) = -1.62
- crystal system = tetragonal
- offset from the most stable computed form (kJ/mol of atoms) = 0.0
- space group = I4mm, No. 107
- electronic total energy (eV/cell) = -19.27

a b c (Å): 4.769 4.769 4.769
angles (deg): 140.64 140.64 56.88
Element x y z (fractional)
Be  0.998  0.998  0.000
Ta  0.666  0.666  0.000
Se  0.336  0.336  0.000

***

DFT (GGA-PBE) results for a relaxed structure of Ta2BeSe.

Results
- formation energy without anion corrections (kcal/mol of atoms) = 5.57
- crystal system = cubic
- offset from the most stable computed form (kJ/mol of atoms) = 30.1
- space group = Fm-3m, No. 225
- electronic total energy (eV/cell) = -29.95

a b c (Å): 4.423 4.423 4.423
angles (deg): 60.00 60.00 60.00
Element x y z (fractional)
Ta  0.750  0.750  0.750
Ta  0.250  0.250  0.250
Be  0.000  0.000  0.000
Se  0.500  0.500  0.500

***

DFT (GGA-PBE) results for a relaxed structure of Ta2BeSe.

Results
- formation energy without anion corrections (kcal/mol of atoms) = 1.32
- crystal system = monoclinic
- offset from the most stable computed form (kJ/mol of atoms) = 12.3
- space group = Cm, No. 8
- electronic total energy (eV/cell) = -30.69

a b c (Å): 4.938 4.938 4.540
angles (deg): 77.03 77.03 35.68
Element x y z (fractional)
Ta  0.982  0.982  0.059
Be  0.506  0.506  0.560
Ta  0.770  0.770  0.680
Se  0.242  0.242  0.201

***

DFT (GGA-PBE) results for a relaxed structure of Ta2BeSe.

Results
- formation energy without anion corrections (kcal/mol of atoms) = 0.71
- crystal system = tetragonal
- offset from the most stable computed form (kJ/mol of atoms) = 9.8
- space group = P4/mmm, No. 123
- electronic total energy (eV/cell) = -30.79

a b c (Å): 3.021 3.021 6.743
angles (deg): 90.00 90.00 90.03
Element x y z (fractional)
Ta  0.000  0.000  0.487
Se  0.500  0.500  0.750
Be  0.500  0.500  0.250
Ta  0.000  0.000  0.013

***

DFT (GGA-PBE) results for a relaxed structure of Ta2BeSe.

Results
- formation energy without anion corrections (kcal/mol of atoms) = 3.94
- crystal system = orthorhombic
- offset from the most stable computed form (kJ/mol of atoms) = 23.3
- space group = Imm2, No. 44
- electronic total energy (eV/cell) = -30.23

a b c (Å): 5.256 5.256 5.256
angles (deg): 145.43 129.45 62.69
Element x y z (fractional)
Ta  0.018  0.018  0.000
Ta  0.731  0.231  0.500
Be  0.491  0.491  0.000
Se  0.260  0.760  0.500

***

DFT (GGA-PBE) results for a relaxed structure of Ta2BeSe.

Results
- formation energy without anion corrections (kcal/mol of atoms) = 6.44
- crystal system = tetragonal
- offset from the most stable computed form (kJ/mol of atoms) = 33.7
- space group = I-4m2, No. 119
- electronic total energy (eV/cell) = -29.80

a b c (Å): 5.141 5.141 5.141
angles (deg): 136.85 136.85 62.67
Element x y z (fractional)
Se  0.750  0.250  0.500
Ta  0.250  0.750  0.500
Be  0.500  0.500  0.000
Ta  0.000  0.000  0.000

***

DFT (GGA-PBE) results for a relaxed structure of Ta2BeSe.

Results
- formation energy without anion corrections (kcal/mol of atoms) = -1.63
- crystal system = trigonal
- offset from the most stable computed form (kJ/mol of atoms) = 0.0
- space group = R-3m, No. 166
- electronic total energy (eV/cell) = -31.20

a b c (Å): 6.452 6.452 6.452
angles (deg): 31.44 31.44 31.44
Element x y z (fractional)
Ta  0.981  0.981  0.981
Se  0.750  0.750  0.750
Be  0.250  0.250  0.250
Ta  0.519  0.519  0.519

***

DFT (GGA-PBE) results for a relaxed structure of Ta2BeSe.

Results
- formation energy without anion corrections (kcal/mol of atoms) = 0.75
- crystal system = orthorhombic
- offset from the most stable computed form (kJ/mol of atoms) = 9.9
- space group = Amm2, No. 38
- electronic total energy (eV/cell) = -30.79

a b c (Å): 4.267 3.081 4.898
angles (deg): 71.71 90.00 90.00
Element x y z (fractional)
Ta  0.500  0.267  0.340
Se  0.500  0.545  0.785
Be  0.000  0.710  0.454
Ta  0.000  0.978  0.921

***

DFT (GGA-PBE) results for a relaxed structure of TaBeSe3.

Results
- formation energy without anion corrections (kcal/mol of atoms) = 8.65
- crystal system = cubic
- offset from the most stable computed form (kJ/mol of atoms) = 0.0
- space group = Pm-3m, No. 221
- electronic total energy (eV/cell) = -24.16

a b c (Å): 5.030 5.030 5.030
angles (deg): 90.00 90.00 90.00
Element x y z (fractional)
Ta  0.000  0.000  0.000
Se  0.000  0.000  0.500
Be  0.500  0.500  0.500
Se  0.000  0.500  0.000
Se  0.500  0.000  0.000

***

Question: electronic total energy of number 11 (Ta2BeSe)?
Answer: -30.79 eV/cell

***

Copy entry 4 word for word.
DFT (GGA-PBE) results for a relaxed structure of TaBeSe.

Results
- formation energy without anion corrections (kcal/mol of atoms) = -1.62
- crystal system = tetragonal
- offset from the most stable computed form (kJ/mol of atoms) = 0.0
- space group = I4mm, No. 107
- electronic total energy (eV/cell) = -19.27

a b c (Å): 4.769 4.769 4.769
angles (deg): 140.64 140.64 56.88
Element x y z (fractional)
Be  0.998  0.998  0.000
Ta  0.666  0.666  0.000
Se  0.336  0.336  0.000